1 | A plane-wave DFT calculation with PBE-GGA was carried out for a relaxed structure of SmY6Th.

Cell: 6.8207 6.5759 6.9682 Å, 80.60 59.49 90.49°
With the nearest neighbours (Å) after each atom.
Element x y z (fractional)
Y 0.4276 0.2682 0.4834  4 Y 3.28-3.43, 1 Sm 3.43
Y 0.4514 0.2523 0.0033  5 Y 3.27-3.59, 1 Sm 3.50, 1 Th 3.50
Y 0.5486 0.7477 0.9967  5 Y 3.27-3.59, 1 Sm 3.50, 1 Th 3.50
Y 0.0905 0.7652 0.4841  6 Y 3.27-3.62, 1 Th 3.47
Y 0.9095 0.2348 0.5159  6 Y 3.27-3.62, 1 Th 3.47
Y 0.5724 0.7318 0.5166  4 Y 3.28-3.43, 1 Sm 3.43
Sm 0.0000 0.0000 0.0000  2 Th 3.29, 4 Y 3.43-3.50
Th 0.0000 0.5000 0.0000  2 Sm 3.29, 4 Y 3.47-3.50



2 | A plane-wave DFT calculation with PBE-GGA was carried out for a relaxed structure of SmY6Th.

Cell: 5.0663 5.0663 10.1180 Å, 90.00 90.00 90.00°
With the nearest neighbours (Å) after each atom.
Element x y z (fractional)
Y 0.5000 0.0000 0.7464  2 Th 3.55, 8 Y 3.55-3.61, 2 Sm 3.61
Y 0.5000 0.5000 0.5000  8 Y 3.55, 4 Th 3.58
Y 0.0000 0.5000 0.7464  2 Th 3.55, 8 Y 3.55-3.61, 2 Sm 3.61
Y 0.0000 0.5000 0.2536  8 Y 3.55-3.61, 2 Th 3.55, 2 Sm 3.61
Y 0.5000 0.0000 0.2536  8 Y 3.55-3.61, 2 Th 3.55, 2 Sm 3.61
Y 0.5000 0.5000 0.0000  4 Sm 3.58, 8 Y 3.61
Sm 0.0000 0.0000 0.0000  12 Y 3.58-3.61
Th 0.0000 0.0000 0.5000  12 Y 3.55-3.58



Relative energies in eV/atom: 1 0.191; 2 0.000



1 | A plane-wave DFT calculation with PBE-GGA was carried out for a relaxed structure of Sm2Y3Th2.

Cell: 3.5983 13.8663 6.2236 Å, 53.28 73.16 67.07°
With the nearest neighbours (Å) after each atom.
Element x y z (fractional)
Y 0.5737 0.5678 0.1487  5 Y 3.54-3.60, 2 Sm 3.55, 5 Th 3.57-3.67
Y 0.0000 0.0000 0.0000  4 Th 3.55, 2 Y 3.60, 6 Sm 3.61-3.64
Y 0.4263 0.4322 0.8513  5 Y 3.54-3.60, 2 Sm 3.55, 5 Th 3.57-3.67
Sm 0.8655 0.8499 0.7199  3 Th 3.52-3.57, 5 Y 3.55-3.64, 4 Sm 3.60-3.71
Sm 0.1345 0.1501 0.2801  3 Th 3.52-3.57, 5 Y 3.55-3.64, 4 Sm 3.60-3.71
Th 0.2838 0.2834 0.5816  3 Sm 3.52-3.57, 7 Y 3.55-3.67, 2 Th 3.60
Th 0.7162 0.7166 0.4184  3 Sm 3.52-3.57, 7 Y 3.55-3.67, 2 Th 3.60



2 | A plane-wave DFT calculation with PBE-GGA was carried out for a relaxed structure of Sm2Y3Th2.

Cell: 3.4597 8.6777 9.0099 Å, 119.00 101.07 90.00°
With the nearest neighbours (Å) after each atom.
Element x y z (fractional)
Sm 0.4377 0.0900 0.8754  3 Sm 3.27-3.46, 3 Y 3.46-3.60
Sm 0.5623 0.9100 0.1246  3 Sm 3.27-3.46, 3 Y 3.46-3.60
Th 0.1532 0.3504 0.3064  4 Th 3.46-3.56, 4 Y 3.47-3.60, 4 Sm 3.76
Th 0.8468 0.6496 0.6936  4 Th 3.46-3.56, 4 Y 3.47-3.60, 4 Sm 3.76
Y 0.7841 0.2018 0.5682  5 Y 3.39-3.54, 3 Sm 3.46-3.73, 3 Th 3.47-3.60
Y 0.2159 0.7982 0.4318  5 Y 3.39-3.54, 3 Sm 3.46-3.73, 3 Th 3.47-3.60
Y 0.0000 0.5000 0.0000  4 Y 3.39-3.46, 2 Th 3.54, 4 Sm 3.60



Relative energies in eV/atom: 1 0.000; 2 0.104



1 | A plane-wave DFT calculation with PBE-GGA was carried out for a relaxed structure of Sm7Y2Th2.

Cell: 6.1566 8.0787 8.0787 Å, 90.74 74.31 74.31°
With the nearest neighbours (Å) after each atom.
Element x y z (fractional)
Sm 0.5875 0.7631 0.7631  5 Sm 3.37-3.62, 2 Th 3.51-3.56, 2 Y 3.58
Sm 0.8310 0.9408 0.4117  3 Sm 3.15-3.37, 2 Y 3.37-3.49
Sm 0.1690 0.0592 0.5883  3 Sm 3.15-3.37, 2 Y 3.37-3.49
Sm 0.8310 0.4117 0.9408  3 Sm 3.15-3.37, 2 Y 3.37-3.49
Sm 0.4125 0.2369 0.2369  5 Sm 3.37-3.62, 2 Th 3.51-3.56, 2 Y 3.58
Sm 0.1690 0.5883 0.0592  3 Sm 3.15-3.37, 2 Y 3.37-3.49
Sm 0.0000 0.0000 0.0000  6 Sm 3.29-3.58
Y 0.5000 0.2198 0.7802  6 Sm 3.37-3.58, 2 Th 3.66
Y 0.5000 0.7802 0.2198  6 Sm 3.37-3.58, 2 Th 3.66
Th 0.8056 0.4231 0.4231  2 Th 3.46-3.49, 7 Sm 3.51-3.86, 2 Y 3.66
Th 0.1944 0.5769 0.5769  2 Th 3.46-3.49, 7 Sm 3.51-3.86, 2 Y 3.66



2 | A plane-wave DFT calculation with PBE-GGA was carried out for a relaxed structure of Sm7Y2Th2.

Cell: 8.7453 6.0461 8.7453 Å, 63.94 97.14 116.06°
With the nearest neighbours (Å) after each atom.
Element x y z (fractional)
Sm 0.9509 0.1878 0.5927  2 Sm 3.12-3.26, 1 Th 3.37, 1 Y 3.45
Sm 0.4237 0.6468 0.5763  2 Sm 3.36-3.50, 2 Y 3.48-3.73, 2 Th 3.69
Sm 0.4073 0.1878 0.0491  2 Sm 3.12-3.26, 1 Th 3.37, 1 Y 3.45
Sm 0.0491 0.8122 0.4073  2 Sm 3.12-3.26, 1 Th 3.37, 1 Y 3.45
Sm 0.5927 0.8122 0.9509  2 Sm 3.12-3.26, 1 Th 3.37, 1 Y 3.45
Sm 0.0000 0.0000 0.0000  4 Sm 3.26, 2 Y 3.55
Sm 0.5763 0.3532 0.4237  2 Sm 3.36-3.50, 2 Y 3.48-3.73, 2 Th 3.69
Th 0.2159 0.5000 0.2159  6 Sm 3.37-3.69, 2 Y 3.49
Th 0.7841 0.5000 0.7841  6 Sm 3.37-3.69, 2 Y 3.49
Y 0.7736 0.1442 0.2264  7 Sm 3.45-3.73, 2 Th 3.49
Y 0.2264 0.8558 0.7736  7 Sm 3.45-3.73, 2 Th 3.49



Relative energies in eV/atom: 1 0.000; 2 0.010



1 | A plane-wave DFT calculation with PBE-GGA was carried out for a relaxed structure of Sm12Y6Th.

Cell: 8.8590 8.8590 8.8590 Å, 100.49 100.49 100.49°
With the nearest neighbours (Å) after each atom.
Element x y z (fractional)
Sm 0.5000 0.2457 0.7543  4 Y 3.41-3.72, 6 Sm 3.41-3.58
Sm 0.6556 0.6556 0.9266  6 Sm 3.41-3.69, 1 Th 3.77
Sm 0.6556 0.9266 0.6556  6 Sm 3.41-3.69, 1 Th 3.77
Sm 0.2457 0.7543 0.5000  4 Y 3.41-3.72, 6 Sm 3.41-3.58
Sm 0.3444 0.3444 0.0734  6 Sm 3.41-3.69, 1 Th 3.77
Sm 0.7543 0.2457 0.5000  4 Y 3.41-3.72, 6 Sm 3.41-3.58
Sm 0.2457 0.5000 0.7543  4 Y 3.41-3.72, 6 Sm 3.41-3.58
Sm 0.7543 0.5000 0.2457  4 Y 3.41-3.72, 6 Sm 3.41-3.58
Sm 0.9266 0.6556 0.6556  6 Sm 3.41-3.69, 1 Th 3.77
Sm 0.5000 0.7543 0.2457  4 Y 3.41-3.72, 6 Sm 3.41-3.58
Sm 0.0734 0.3444 0.3444  6 Sm 3.41-3.69, 1 Th 3.77
Sm 0.3444 0.0734 0.3444  6 Sm 3.41-3.69, 1 Th 3.77
Y 0.6695 0.1029 0.1029  3 Y 3.24-3.56, 2 Sm 3.41, 1 Th 3.45
Y 0.8971 0.3305 0.8971  3 Y 3.24-3.56, 2 Sm 3.41, 1 Th 3.45
Y 0.1029 0.1029 0.6695  3 Y 3.24-3.56, 2 Sm 3.41, 1 Th 3.45
Y 0.1029 0.6695 0.1029  3 Y 3.24-3.56, 2 Sm 3.41, 1 Th 3.45
Y 0.8971 0.8971 0.3305  3 Y 3.24-3.56, 2 Sm 3.41, 1 Th 3.45
Y 0.3305 0.8971 0.8971  3 Y 3.24-3.56, 2 Sm 3.41, 1 Th 3.45
Th 0.0000 0.0000 0.0000  6 Y 3.45, 6 Sm 3.77



2 | A plane-wave DFT calculation with PBE-GGA was carried out for a relaxed structure of Sm12Y6Th.

Cell: 8.6488 8.6488 8.6488 Å, 89.24 89.24 89.24°
With the nearest neighbours (Å) after each atom.
Element x y z (fractional)
Y 0.9036 0.3019 0.7438  7 Sm 3.38-3.75, 1 Th 3.50, 2 Y 3.53
Y 0.6981 0.2562 0.0964  7 Sm 3.38-3.75, 1 Th 3.50, 2 Y 3.53
Y 0.2562 0.0964 0.6981  7 Sm 3.38-3.75, 1 Th 3.50, 2 Y 3.53
Y 0.0964 0.6981 0.2562  7 Sm 3.38-3.75, 1 Th 3.50, 2 Y 3.53
Y 0.7438 0.9036 0.3019  7 Sm 3.38-3.75, 1 Th 3.50, 2 Y 3.53
Y 0.3019 0.7438 0.9036  7 Sm 3.38-3.75, 1 Th 3.50, 2 Y 3.53
Sm 0.4374 0.7788 0.5369  6 Sm 3.33-3.69, 3 Y 3.38-3.49
Sm 0.4631 0.5626 0.2212  6 Sm 3.33-3.69, 3 Y 3.38-3.49
Sm 0.2019 0.3539 0.0154  4 Sm 3.44-3.60, 4 Y 3.55-3.75, 1 Th 3.55
Sm 0.3539 0.0154 0.2019  4 Sm 3.44-3.60, 4 Y 3.55-3.75, 1 Th 3.55
Sm 0.7981 0.6461 0.9846  4 Sm 3.44-3.60, 4 Y 3.55-3.75, 1 Th 3.55
Sm 0.0154 0.2019 0.3539  4 Sm 3.44-3.60, 4 Y 3.55-3.75, 1 Th 3.55
Sm 0.9846 0.7981 0.6461  4 Sm 3.44-3.60, 4 Y 3.55-3.75, 1 Th 3.55
Sm 0.2212 0.4631 0.5626  6 Sm 3.33-3.69, 3 Y 3.38-3.49
Sm 0.7788 0.5369 0.4374  6 Sm 3.33-3.69, 3 Y 3.38-3.49
Sm 0.6461 0.9846 0.7981  4 Sm 3.44-3.60, 4 Y 3.55-3.75, 1 Th 3.55
Sm 0.5369 0.4374 0.7788  6 Sm 3.33-3.69, 3 Y 3.38-3.49
Sm 0.5626 0.2212 0.4631  6 Sm 3.33-3.69, 3 Y 3.38-3.49
Th 0.0000 0.0000 0.0000  6 Y 3.50, 6 Sm 3.55



Relative energies in eV/atom: 1 0.072; 2 0.000



1 | A plane-wave DFT calculation with PBE-GGA was carried out for a relaxed structure of SmThZn2.

Cell: 5.1682 5.1682 5.1682 Å, 60.00 60.00 60.00°
With the nearest neighbours (Å) after each atom.
Element x y z (fractional)
Th 0.5000 0.5000 0.5000  8 Zn 3.16
Zn 0.2500 0.2500 0.2500  4 Th 3.16, 4 Sm 3.16
Zn 0.7500 0.7500 0.7500  4 Th 3.16, 4 Sm 3.16
Sm 0.0000 0.0000 0.0000  8 Zn 3.16



2 | A plane-wave DFT calculation with PBE-GGA was carried out for a relaxed structure of SmThZn2.

Cell: 3.6430 5.1610 10.3643 Å, 90.00 90.00 90.00°
With the nearest neighbours (Å) after each atom.
Element x y z (fractional)
Zn 0.0000 0.2500 0.6338  2 Sm 3.11, 6 Th 3.16-3.21
Zn 0.0000 0.7500 0.8736  6 Sm 3.16, 2 Th 3.19
Zn 0.0000 0.2500 0.1264  6 Sm 3.16, 2 Th 3.19
Zn 0.0000 0.7500 0.3662  2 Sm 3.11, 6 Th 3.16-3.21
Sm 0.5000 0.2500 0.8776  8 Zn 3.11-3.16
Sm 0.5000 0.7500 0.1224  8 Zn 3.11-3.16
Th 0.5000 0.7500 0.6214  8 Zn 3.16-3.21
Th 0.5000 0.2500 0.3786  8 Zn 3.16-3.21



3 | A plane-wave DFT calculation with PBE-GGA was carried out for a relaxed structure of SmThZn2.

Cell: 3.6245 3.6245 9.4691 Å, 78.97 78.97 60.00°
With the nearest neighbours (Å) after each atom.
Element x y z (fractional)
Sm 0.5000 0.5000 0.5000  6 Zn 3.08
Zn 0.2482 0.2482 0.2554  3 Sm 3.08, 3 Th 3.15
Zn 0.7518 0.7518 0.7446  3 Sm 3.08, 3 Th 3.15
Th 0.0000 0.0000 0.0000  6 Zn 3.15



Relative energies in eV/atom: 1 0.017; 2 0.000; 3 0.200



1 | A plane-wave DFT calculation with PBE-GGA was carried out for a relaxed structure of Sm2ThZn3.

Cell: 5.1655 5.1655 6.3204 Å, 90.00 90.00 120.00°
With the nearest neighbours (Å) after each atom.
Element x y z (fractional)
Sm 0.6667 0.3333 0.3360  8 Zn 3.16-3.17
Sm 0.3333 0.6667 0.6640  8 Zn 3.16-3.17
Zn 0.0000 0.0000 0.5000  6 Sm 3.16, 2 Th 3.16
Zn 0.6667 0.3333 0.8360  3 Th 3.16, 5 Sm 3.16-3.17
Zn 0.3333 0.6667 0.1640  3 Th 3.16, 5 Sm 3.16-3.17
Th 0.0000 0.0000 0.0000  8 Zn 3.16



2 | A plane-wave DFT calculation with PBE-GGA was carried out for a relaxed structure of Sm2ThZn3.

Cell: 3.6443 3.6443 10.9671 Å, 90.00 90.00 90.00°
With the nearest neighbours (Å) after each atom.
Element x y z (fractional)
Sm 0.5000 0.5000 0.8344  8 Zn 3.13-3.15
Sm 0.5000 0.5000 0.1656  8 Zn 3.13-3.15
Zn 0.0000 0.0000 0.3278  4 Sm 3.13, 4 Th 3.19
Zn 0.0000 0.0000 0.6722  4 Sm 3.13, 4 Th 3.19
Zn 0.0000 0.0000 0.0000  8 Sm 3.15
Th 0.5000 0.5000 0.5000  8 Zn 3.19



Relative energies in eV/atom: 1 0.005; 2 0.000